The following is a DFT calculation (PBE) of an optimized crystal structure of Dy2YRh.

Structure (POSCAR):
```
Dy2YRh
1.0
-0.4663 0.9956 3.4593
-3.0472 -0.9029 1.7535
3.3113 -8.9204 4.9181
Y Rh Dy
1 1 2
direct
0.0000 0.0000 0.0000
0.5000 0.5000 0.5000
0.8894 0.8894 0.3317
0.1106 0.1106 0.6683
```

Distance to the lowest polymorph of the same formula   0.371 eV per atom
E_tot   -23.635 eV/cell
Magnetization   0.7 Bohr magnetons per cell
Calculated formation energy   -0.15 eV/atom
Crystal system   trigonal